An optimized crystal structure of Ac6La2PmNd3. Source: Alexandria via LeMat-Bulk, functional PBE.

Electronic total energy: -106.5 eV/cell
Formation energy from the elements: 29 kJ/mol of formula units

```
data_Ac6La2PmNd3
_chemical_formula_sum 'Ac12 La4 Pm2 Nd6'
_cell_length_a 6.705
_cell_length_b 11.627
_cell_length_c 12.560
_cell_angle_alpha 90.00
_cell_angle_beta 100.28
_cell_angle_gamma 90.00
_symmetry_space_group_name_H-M 'C 1 2/m 1'
_symmetry_Int_Tables_number 12
loop_
_symmetry_equiv_pos_as_xyz
'x,y,z'
'-x,-y,-z'
'-x,y,-z'
'x,-y,z'
'x+1/2,y+1/2,z'
'-x+1/2,-y+1/2,-z'
'-x+1/2,y+1/2,-z'
'x+1/2,-y+1/2,z'
loop_
_atom_site_label
_atom_site_type_symbol
_atom_site_fract_x
_atom_site_fract_y
_atom_site_fract_z
Ac1 Ac 0.249 0.000 0.248
Ac2 Ac 0.250 0.166 0.752
La1 La 0.000 0.333 0.500
Pm1 Pm 0.000 0.000 0.500
Nd1 Nd 0.000 0.167 0.000
Nd2 Nd 0.000 0.500 0.000
```

An optimized crystal structure of InPb2Br2. Source: Alexandria via LeMat-Bulk, functional PBE.

Electronic total energy: -28.3 eV/cell
Energy relative to the lowest polymorph listed for this composition: 3.93 kcal/mol of atoms
E_form (uncorrected): -62 kJ/mol of formula units

```
data_InPb2Br2
_chemical_formula_sum 'In2 Pb4 Br4'
_cell_length_a 5.086
_cell_length_b 5.086
_cell_length_c 13.535
_cell_angle_alpha 90.00
_cell_angle_beta 90.00
_cell_angle_gamma 90.00
_symmetry_space_group_name_H-M 'I 4/m m m'
_symmetry_Int_Tables_number 139
_symmetry_space_group_name_Hall '-I 4 2'
loop_
_atom_site_label
_atom_site_type_symbol
_atom_site_fract_x
_atom_site_fract_y
_atom_site_fract_z
In1 In 0.000 0.000 0.000
Pb1 Pb 0.000 0.000 0.384
Br1 Br 0.000 0.500 0.250
```

An optimized crystal structure of KSr2In9. Source: Alexandria via LeMat-Bulk, functional PBE.

Electronic total energy: -95.8 eV/cell
Formation energy from the elements: -272 kJ/mol of formula units

```
data_KSr2In9
_chemical_formula_sum 'K3 Sr6 In27'
_cell_length_a 6.3027
_cell_length_b 6.3027
_cell_length_c 31.8100
_cell_angle_alpha 90.00
_cell_angle_beta 90.00
_cell_angle_gamma 120.00
_symmetry_space_group_name_H-M 'R -3 m'
_symmetry_Int_Tables_number 166
_symmetry_space_group_name_Hall '-R 3 2"'
loop_
_atom_site_label
_atom_site_type_symbol
_atom_site_fract_x
_atom_site_fract_y
_atom_site_fract_z
K1 K 0.0000 0.0000 0.0000
Sr1 Sr 0.0000 0.0000 0.1404
In1 In 0.0000 0.0000 0.3359
In2 In 0.0000 0.0000 0.5000
In3 In 0.0048 0.5024 0.9149
```